[1]
LiAlGa6: optimized geometry, PBE.

offset from the most stable computed form = 0.0 meV per atom
SG = No. 65
formation enthalpy at 0 K = -0.07 eV/atom
total DFT energy (no corrections) = -3.048 eV per atom

abc: 8.1642 8.8683 3.8961
angles: 90.00 90.00 90.00
Last column: nearest neighbours and their distance in Å.
Element x y z (fractional)
Li 0.0000 0.0000 0.0000  12 Ga 2.83-3.01
Li 0.5000 0.5000 0.0000  12 Ga 2.83-3.01
Al 0.0000 0.5000 0.0000  12 Ga 2.81-3.01
Al 0.5000 0.0000 0.0000  12 Ga 2.81-3.01
Ga 0.0000 0.2471 0.5000  8 Ga 2.82-3.02, 2 Li 2.93, 2 Al 2.97
Ga 0.0000 0.7529 0.5000  8 Ga 2.82-3.02, 2 Li 2.93, 2 Al 2.97
Ga 0.2478 0.5000 0.5000  2 Al 2.81, 2 Li 2.83, 8 Ga 2.95-3.02
Ga 0.2500 0.2500 0.0000  8 Ga 2.82-2.95, 2 Li 3.01, 2 Al 3.01
Ga 0.2500 0.7500 0.0000  8 Ga 2.82-2.95, 2 Al 3.01, 2 Li 3.01
Ga 0.2522 0.0000 0.5000  2 Al 2.81, 2 Li 2.83, 8 Ga 2.95-3.02
Ga 0.5000 0.2529 0.5000  8 Ga 2.82-3.02, 2 Li 2.93, 2 Al 2.97
Ga 0.5000 0.7471 0.5000  8 Ga 2.82-3.02, 2 Li 2.93, 2 Al 2.97
Ga 0.7478 0.0000 0.5000  2 Al 2.81, 2 Li 2.83, 8 Ga 2.95-3.02
Ga 0.7500 0.2500 0.0000  8 Ga 2.82-2.95, 2 Al 3.01, 2 Li 3.01
Ga 0.7500 0.7500 0.0000  8 Ga 2.82-2.95, 2 Li 3.01, 2 Al 3.01
Ga 0.7522 0.5000 0.5000  2 Al 2.81, 2 Li 2.83, 8 Ga 2.95-3.02

***

[2]
Sr2CoHgC: optimized geometry, PBE.

SG = No. 123
formation enthalpy at 0 K = -0.08 eV/atom
total DFT energy (no corrections) = -4.078 eV per atom

abc: 5.5703 5.5703 3.6842
angles: 90.00 90.00 90.00
Last column: nearest neighbours and their distance in Å.
Element x y z (fractional)
Sr 0.0000 0.5000 0.0000  2 C 2.79
Sr 0.5000 0.0000 0.0000  2 C 2.79
Co 0.0000 0.0000 0.5000  2 C 1.84
Hg 0.5000 0.5000 0.5000  8 Sr 3.34, 2 Hg 3.68
C 0.0000 0.0000 0.0000  2 Co 1.84

***

[3]
TiCrTc3: optimized geometry, PBE.

offset from the most stable computed form = 742.5 meV per atom
SG = No. 221
formation enthalpy at 0 K = 1.60 eV/atom
total DFT energy (no corrections) = -8.122 eV per atom

abc: 4.4366 4.4366 4.4366
angles: 90.00 90.00 90.00
Last column: nearest neighbours and their distance in Å.
Element x y z (fractional)
Ti 0.0000 0.0000 0.0000  6 Tc 2.22
Cr 0.5000 0.5000 0.5000  12 Tc 3.14
Tc 0.0000 0.0000 0.5000  2 Ti 2.22
Tc 0.0000 0.5000 0.0000  2 Ti 2.22
Tc 0.5000 0.0000 0.0000  2 Ti 2.22

***

[4]
BaAl2C: optimized geometry, PBE.

SG = No. 122
formation enthalpy at 0 K = 0.43 eV/atom
total DFT energy (no corrections) = -4.233 eV per atom

abc: 6.5159 6.5159 9.0118
angles: 90.00 90.00 90.00
Last column: nearest neighbours and their distance in Å.
Element x y z (fractional)
Ba 0.0000 0.0000 0.0000  8 Al 3.58-3.76, 4 Ba 3.96, 4 C 3.96
Ba 0.0000 0.5000 0.2500  8 Al 3.58-3.76, 4 Ba 3.96, 4 C 3.96
Ba 0.5000 0.0000 0.7500  8 Al 3.58-3.76, 4 Ba 3.96, 4 C 3.96
Ba 0.5000 0.5000 0.5000  8 Al 3.58-3.76, 4 Ba 3.96, 4 C 3.96
Al 0.0419 0.7500 0.6250  2 C 2.00
Al 0.2500 0.0419 0.3750  2 C 2.00
Al 0.2500 0.4581 0.8750  2 C 2.00
Al 0.4581 0.7500 0.1250  2 C 2.00
Al 0.5419 0.2500 0.1250  2 C 2.00
Al 0.7500 0.5419 0.8750  2 C 2.00
Al 0.7500 0.9581 0.3750  2 C 2.00
Al 0.9581 0.2500 0.6250  2 C 2.00
C 0.0000 0.0000 0.5000  4 Al 2.00
C 0.0000 0.5000 0.7500  4 Al 2.00
C 0.5000 0.0000 0.2500  4 Al 2.00
C 0.5000 0.5000 0.0000  4 Al 2.00

***

Which of these has the highest formation enthalpy at 0 K? TiCrTc3